ZrHg3Pd: relaxed, PBE-GGA.

## Properties
N(E_F)	3.28	states/eV per cell
excess energy over the best structure of this formula in the dataset	0.0	meV per atom
total DFT energy (no corrections)	-2.4189	eV per atom
density	10.1	Mg/m³
energy of formation from the pure elements	0.51	eV/atom
magnetic moment	1.7	μB/f.u.

Unit cell a=5.0824 b=5.0824 c=5.0824 alpha=90.00 beta=90.00 gamma=90.00
Fractional positions:
Zr: 0.5000 0.5000 0.5000
Pd: 0.0000 0.0000 0.0000
Hg: 0.0000 0.0000 0.5000
Hg: 0.0000 0.5000 0.0000
Hg: 0.5000 0.0000 0.0000

CsGa2HgIr: relaxed, PBE-GGA.

## Properties
N(E_F)	0.89	states/eV per cell
total DFT energy (no corrections)	-3.4852	eV per atom
density	8.3	Mg/m³
energy of formation from the pure elements	-0.27	eV/atom
magnetic moment	0.0	μB/f.u.

Unit cell a=4.9220 b=4.9220 c=5.4998 alpha=90.00 beta=90.00 gamma=90.00
Fractional positions:
Ga: 0.5000 0.0000 0.0000
Cs: 0.5000 0.5000 0.5000
Ir: 0.0000 0.0000 0.0000
Ga: 0.0000 0.5000 0.0000
Hg: 0.0000 0.0000 0.5000

LaSmCo: relaxed, PBE-GGA.

## Properties
N(E_F)	2.27	states/eV per cell
excess energy over the best structure of this formula in the dataset	111.6	meV per atom
total DFT energy (no corrections)	-5.5679	eV per atom
density	7.2	Mg/m³
energy of formation from the pure elements	0.02	eV/atom
magnetic moment	0.0	μB/f.u.

Unit cell a=4.8381 b=4.8381 c=4.8381 alpha=60.00 beta=60.00 gamma=60.00
Fractional positions:
Sm: 0.5000 0.5000 0.5000
Co: 0.2500 0.2500 0.2500
La: 0.0000 0.0000 0.0000

K2CrGe: relaxed, PBE-GGA.

## Properties
N(E_F)	4.51	states/eV per cell
total DFT energy (no corrections)	-3.6556	eV per atom
density	1.7	Mg/m³
energy of formation from the pure elements	0.45	eV/atom
magnetic moment	3.9	μB/f.u.

Unit cell a=12.7944 b=12.7944 c=9.3618 alpha=46.90 beta=46.90 gamma=90.00
Fractional positions:
Ge: 0.7500 0.2500 0.5000
K: 0.8750 0.6769 0.7500
K: 0.3750 0.5731 0.7500
Cr: 0.5000 0.5000 0.0000
Cr: 0.2500 0.7500 0.5000
K: 0.3231 0.6250 0.2500
Ge: 0.0000 0.0000 0.0000
K: 0.4269 0.1250 0.2500

CaTiN: relaxed, PBE-GGA.

## Properties
N(E_F)	4.95	states/eV per cell
total DFT energy (no corrections)	-6.7176	eV per atom
density	3.2	Mg/m³
magnetic moment	0.0	μB/f.u.

Unit cell a=3.4502 b=3.4502 c=9.1028 alpha=100.83 beta=100.83 gamma=89.99
Fractional positions:
N: 0.9206 0.9206 0.8400
Ti: 0.0000 0.5000 0.0000
Ti: 0.5000 0.0000 0.0000
Ca: 0.3501 0.3501 0.6975
N: 0.0794 0.0794 0.1600
Ca: 0.6499 0.6499 0.3025

BeNi: relaxed, PBE-GGA.

## Properties
N(E_F)	8.67	states/eV per cell
total DFT energy (no corrections)	-4.6463	eV per atom
density	4.3	Mg/m³
energy of formation from the pure elements	0.11	eV/atom
magnetic moment	0.0	μB/f.u.

Unit cell a=6.9215 b=6.9215 c=3.7670 alpha=90.00 beta=90.00 gamma=120.00
Fractional positions:
Be: 0.7783 0.5566 0.2500
Ni: 0.8934 0.4467 0.7500
Be: 0.2217 0.4434 0.7500
Be: 0.4434 0.2217 0.2500
Ni: 0.1066 0.5533 0.2500
Be: 0.5566 0.7783 0.7500
Ni: 0.5533 0.4467 0.7500
Ni: 0.4467 0.8934 0.2500
Ni: 0.4467 0.5533 0.2500
Be: 0.7783 0.2217 0.2500
Be: 0.2217 0.7783 0.7500
Ni: 0.5533 0.1066 0.7500

La2ScIr: relaxed, PBE-GGA.

## Properties
N(E_F)	7.07	states/eV per cell
excess energy over the best structure of this formula in the dataset	260.0	meV per atom
total DFT energy (no corrections)	-6.3877	eV per atom
density	9.0	Mg/m³
energy of formation from the pure elements	-0.13	eV/atom
magnetic moment	0.5	μB/f.u.

Unit cell a=5.1256 b=5.1256 c=5.1256 alpha=60.00 beta=60.00 gamma=60.00
Fractional positions:
Ir: 0.5000 0.5000 0.5000
La: 0.2500 0.2500 0.2500
La: 0.0000 0.0000 0.0000
Sc: 0.7500 0.7500 0.7500

K4Pm3NdTe8: relaxed, PBE-GGA.

## Properties
total DFT energy (no corrections)	-4.4508	eV per atom
density	4.8	Mg/m³
magnetic moment	0.0	μB/f.u.

Unit cell a=9.1967 b=9.8205 c=9.1976 alpha=117.95 beta=120.00 gamma=90.00
Fractional positions:
Te: 0.2388 0.7139 0.4775
K: 0.5000 0.0000 0.0000
Nd: 0.0000 0.5000 0.0000
Te: 0.7612 0.2861 0.5225
Te: 0.2388 0.7139 0.9754
Te: 0.2634 0.2861 0.0246
K: 0.0000 0.0000 0.5000
Pm: 0.5000 0.5000 0.0000
K: 0.0000 0.0000 0.0000
Te: 0.7378 0.7132 0.4757
Te: 0.2622 0.2868 0.5243
Pm: 0.5000 0.5000 0.5000
Pm: 0.0000 0.5000 0.5000
Te: 0.7366 0.7139 0.9754
K: 0.5000 0.0000 0.5000
Te: 0.7612 0.2861 0.0246

Dy8Y2Ho: relaxed, PBE-GGA.

## Properties
N(E_F)	17.59	states/eV per cell
total DFT energy (no corrections)	-4.7685	eV per atom
density	7.7	Mg/m³
energy of formation from the pure elements	0.17	eV/atom
magnetic moment	0.0	μB/f.u.

Unit cell a=6.6200 b=10.1593 c=10.1593 alpha=38.07 beta=59.57 gamma=59.57
Fractional positions:
Dy: 0.7736 0.6502 0.1742
Dy: 0.2264 0.8258 0.3498
Dy: 0.1733 0.7550 0.7550
Y: 0.5964 0.7995 0.7995
Y: 0.4036 0.2005 0.2005
Dy: 0.8267 0.2450 0.2450
Dy: 0.7736 0.1742 0.6502
Ho: 0.0000 0.0000 0.0000
Dy: 0.7264 0.5889 0.5889
Dy: 0.2736 0.4111 0.4111
Dy: 0.2264 0.3498 0.8258

ZrZnIn2: relaxed, PBE-GGA.

## Properties
N(E_F)	1.28	states/eV per cell
total DFT energy (no corrections)	-4.0807	eV per atom
density	7.8	Mg/m³
energy of formation from the pure elements	-0.26	eV/atom
magnetic moment	0.0	μB/f.u.

Unit cell a=4.3604 b=4.3598 c=4.3049 alpha=90.00 beta=90.00 gamma=90.00
Fractional positions:
Zr: 0.0000 0.5000 0.5000
Zn: 0.5000 0.0000 0.5000
In: 0.5000 0.5000 0.0000
In: 0.0000 0.0000 0.0000

Bi2PtClF: relaxed, PBE-GGA.

## Properties
N(E_F)	2.50	states/eV per cell
total DFT energy (no corrections)	-3.5506	eV per atom
density	9.9	Mg/m³
magnetic moment	0.0	μB/f.u.

Unit cell a=4.8325 b=4.7940 c=4.8325 alpha=90.00 beta=90.00 gamma=90.00
Fractional positions:
Cl: 0.0000 0.5000 0.0000
Bi: 0.0000 0.0000 0.5000
F: 0.0000 0.0000 0.0000
Pt: 0.5000 0.5000 0.5000
Bi: 0.5000 0.0000 0.0000

Sm2BeOs: relaxed, PBE-GGA.

## Properties
N(E_F)	4.36	states/eV per cell
total DFT energy (no corrections)	-6.2607	eV per atom
density	8.4	Mg/m³
energy of formation from the pure elements	-0.16	eV/atom
magnetic moment	0.0	μB/f.u.

Unit cell a=4.0028 b=4.0059 c=7.4668 alpha=74.43 beta=74.45 gamma=60.03
Fractional positions:
Os: 0.4698 0.2329 0.8275
Sm: 0.8896 0.6530 0.5677
Be: 0.1353 0.8982 0.8312
Sm: 0.7156 0.4778 0.0910